(1)
{"formula": "H3OsW", "functional": "PBE", "state": "relaxed", "final_energy_ev_per_cell": -29.67, "lattice": [[3.467, 0.000, 0.000], [0.000, 3.467, 0.000], [0.000, 0.000, 3.467]], "species": ["H", "H", "H", "Os", "W"], "frac_coords": [[0.000, 0.000, 0.500], [0.000, 0.500, 0.000], [0.500, 0.000, 0.000], [0.500, 0.500, 0.500], [0.000, 0.000, 0.000]]}

(2)
{"formula": "HOs2W", "functional": "PBE", "state": "relaxed", "final_energy_ev_per_cell": -35.82, "lattice": [[0.000, 2.987, 2.987], [2.987, 0.000, 2.987], [2.987, 2.987, 0.000]], "species": ["H", "Os", "Os", "W"], "frac_coords": [[0.000, 0.000, 0.000], [0.250, 0.250, 0.250], [0.750, 0.750, 0.750], [0.500, 0.500, 0.500]]}

(3)
{"formula": "HOsW3", "functional": "PBE", "state": "relaxed", "final_energy_ev_per_cell": -40.14, "lattice": [[4.767, 0.000, 0.000], [0.000, 4.767, 0.000], [0.000, 0.000, 4.767]], "species": ["H", "Os", "W", "W", "W"], "frac_coords": [[0.000, 0.000, 0.000], [0.500, 0.500, 0.500], [0.000, 0.500, 0.500], [0.500, 0.000, 0.500], [0.500, 0.500, 0.000]]}

(4)
{"formula": "H2OsW", "functional": "PBE", "state": "relaxed", "final_energy_ev_per_cell": -26.73, "lattice": [[0.000, 2.666, 2.666], [2.666, 0.000, 2.666], [2.666, 2.666, 0.000]], "species": ["H", "H", "Os", "W"], "frac_coords": [[0.250, 0.250, 0.250], [0.750, 0.750, 0.750], [0.000, 0.000, 0.000], [0.500, 0.500, 0.500]]}

(5)
{"formula": "HOsW2", "functional": "PBE", "state": "relaxed", "final_energy_ev_per_cell": -73.58, "lattice": [[-2.381, 2.381, 5.196], [2.381, -2.381, 5.196], [2.381, 2.381, -5.196]], "species": ["H", "H", "Os", "Os", "W", "W", "W", "W"], "frac_coords": [[0.000, 0.000, 0.000], [0.750, 0.250, 0.500], [0.250, 0.750, 0.500], [0.500, 0.500, 0.000], [0.375, 0.249, 0.374], [0.751, 0.125, 0.126], [0.875, 0.001, 0.626], [0.999, 0.625, 0.874]]}

(6)
{"formula": "HOs3W", "functional": "PBE", "state": "relaxed", "final_energy_ev_per_cell": -49.48, "lattice": [[3.937, 0.000, 0.000], [0.000, 3.937, 0.000], [0.000, 0.000, 3.937]], "species": ["H", "Os", "Os", "Os", "W"], "frac_coords": [[0.000, 0.000, 0.000], [0.000, 0.000, 0.500], [0.000, 0.500, 0.000], [0.500, 0.000, 0.000], [0.500, 0.500, 0.500]]}